Record 1
Here is a crystal of La4FeNi3O12 relaxed with PBEsol from Alexandria via LeMat-Bulk. Energies are from SCAN.

Cell lengths 5.3400, 5.4166, 7.6185 Å; angles 89.97, 88.84, 90.00 degrees
Element x y z (fractional)
La1 0.5012 0.9998 0.7559
La2 0.9998 0.4994 0.2440
La3 0.4988 0.0002 0.2441
La4 0.0002 0.5006 0.7560
Fe1 0.5000 0.5000 0.5000
Ni1 0.0000 0.0000 0.5000
Ni2 0.5000 0.5000 0.0000
Ni3 0.0000 0.0000 0.0000
O1 0.2209 0.7159 0.4763
O2 0.7279 0.2279 0.9770
O3 0.2826 0.2223 0.5258
O4 0.7716 0.7284 0.0238
O5 0.0027 0.0505 0.2496
O6 0.4975 0.5476 0.7485
O7 0.7174 0.7777 0.4742
O8 0.2284 0.2716 0.9762
O9 0.9973 0.9495 0.7504
O10 0.5025 0.4524 0.2515
O11 0.7791 0.2841 0.5237
O12 0.2721 0.7721 0.0230

Total magnetic moment   0.40 μB per atom
Calculated density   7.38 g/cm³
Fermi-level density of states   2.63 states/eV/f.u.
ΔE_f (raw)   -52.93 eV per formula unit

=====

Record 2
Here is a crystal of La2FeNiO6 relaxed with PBEsol from Alexandria via LeMat-Bulk. Energies are from SCAN.

Cell lengths 5.3835, 5.4340, 7.6318 Å; angles 89.82, 90.00, 90.00 degrees
Element x y z (fractional)
La1 0.9774 0.0043 0.2498
La2 0.4774 0.4957 0.2502
La3 0.0226 0.9957 0.7502
La4 0.5226 0.5043 0.7498
Fe1 0.0000 0.5000 0.0000
Fe2 0.5000 0.0000 0.5000
Ni1 0.0000 0.5000 0.5000
Ni2 0.5000 0.0000 0.0000
O1 0.0072 0.5650 0.2444
O2 0.5072 0.9350 0.2556
O3 0.9928 0.4350 0.7556
O4 0.4928 0.0650 0.7444
O5 0.7699 0.7811 0.5347
O6 0.2699 0.7189 0.9653
O7 0.2214 0.2335 0.0352
O8 0.7214 0.2665 0.4648
O9 0.2301 0.2189 0.4653
O10 0.7301 0.2811 0.0347
O11 0.7786 0.7665 0.9648
O12 0.2786 0.7335 0.5352

Total magnetic moment   0.40 μB per atom
Calculated density   7.26 g/cm³
ΔE_f (raw)   -27.11 eV per formula unit

=====

Record 3
Here is a crystal of La4FeO8 relaxed with PBEsol from Alexandria via LeMat-Bulk. Energies are from SCAN.

Cell lengths 5.2203, 5.2373, 6.9595 Å; angles 90.00, 112.03, 90.00 degrees
Element x y z (fractional)
La1 0.6360 0.5000 0.2720
La2 0.3640 0.5000 0.7280
La3 0.1370 0.0000 0.2741
La4 0.8630 0.0000 0.7259
Fe1 0.0000 0.5000 0.0000
O1 0.6854 0.0000 0.3709
O2 0.3146 0.0000 0.6291
O3 0.1763 0.5000 0.3526
O4 0.8237 0.5000 0.6474
O5 0.2441 0.2596 0.0000
O6 0.2441 0.7404 0.0000
O7 0.7559 0.2596 0.0000
O8 0.7559 0.7404 0.0000

Total magnetic moment   0.31 μB per atom
Calculated density   6.96 g/cm³
ΔE_f (raw)   -42.05 eV per formula unit

=====

Record 4
Here is a crystal of La3FeWS3O6 relaxed with PBEsol from Alexandria via LeMat-Bulk. Energies are from SCAN.

Cell lengths 5.4617, 9.2811, 9.2811 Å; angles 120.00, 90.00, 90.00 degrees
Element x y z (fractional)
La1 0.7500 0.0913 0.6871
La2 0.7500 0.5959 0.9087
La3 0.7500 0.3129 0.4041
La4 0.2500 0.9087 0.3129
La5 0.2500 0.4041 0.0913
La6 0.2500 0.6871 0.5959
Fe1 0.0000 0.0000 0.0000
Fe2 0.5000 0.0000 0.0000
W1 0.7500 0.6667 0.3333
W2 0.2500 0.3333 0.6667
S1 0.2500 0.1686 0.2147
S2 0.2500 0.0461 0.8314
S3 0.2500 0.7853 0.9539
S4 0.7500 0.8314 0.7853
S5 0.7500 0.9539 0.1686
S6 0.7500 0.2147 0.0461
O1 0.4779 0.1611 0.5231
O2 0.4779 0.3620 0.8389
O3 0.4779 0.4769 0.6380
O4 0.9779 0.8389 0.4769
O5 0.9779 0.6380 0.1611
O6 0.9779 0.5231 0.3620
O7 0.5221 0.8389 0.4769
O8 0.5221 0.6380 0.1611
O9 0.5221 0.5231 0.3620
O10 0.0221 0.1611 0.5231
O11 0.0221 0.3620 0.8389
O12 0.0221 0.4769 0.6380

Total magnetic moment   0.07 μB per atom
Calculated density   6.92 g/cm³
Fermi-level density of states   3.44 states/eV/f.u.
ΔE_f (raw)   -37.72 eV per formula unit

=====

Record 5
Here is a crystal of La4FeSe6O relaxed with PBEsol from Alexandria via LeMat-Bulk. Energies are from SCAN.

Cell lengths 6.9031, 9.5721, 9.5706 Å; angles 60.00, 90.00, 90.00 degrees
Element x y z (fractional)
O1 0.0386 0.6647 0.6647
O2 0.5386 0.3313 0.3314
Fe1 0.0168 0.9980 0.9981
Fe2 0.5168 0.9981 0.9980
Se1 0.2681 0.1073 0.1073
Se2 0.2681 0.1074 0.7793
Se3 0.4443 0.5253 0.9434
Se4 0.4447 0.9431 0.5255
Se5 0.7681 0.8886 0.2167
Se6 0.2682 0.7794 0.1073
Se7 0.4448 0.5255 0.5255
Se8 0.7682 0.2166 0.8887
Se9 0.9447 0.0529 0.4705
Se10 0.9448 0.4705 0.4705
Se11 0.9443 0.4707 0.0526
Se12 0.7681 0.8887 0.8887
La1 0.1536 0.8011 0.8010
La2 0.2052 0.3315 0.3310
La3 0.1536 0.3919 0.8010
La4 0.6536 0.1950 0.6041
La5 0.6536 0.6041 0.1950
La6 0.6536 0.1949 0.1950
La7 0.7052 0.6645 0.6651
La8 0.1536 0.8010 0.3919

Total magnetic moment   0.00 μB per atom
Calculated density   6.68 g/cm³
Fermi-level density of states   0.00 states/eV/f.u.
ΔE_f (raw)   -25.68 eV per formula unit

=====

Record 6
Here is a crystal of La2FeSe2O2 relaxed with PBEsol from Alexandria via LeMat-Bulk. Energies are from SCAN.

Cell lengths 3.9509, 5.9413, 6.6313 Å; angles 68.10, 72.67, 70.58 degrees
Element x y z (fractional)
O1 0.1927 0.6953 0.9194
O2 0.8073 0.3047 0.0806
Fe1 0.0000 0.0000 0.0000
Se1 0.5551 0.2017 0.6881
Se2 0.4449 0.7983 0.3119
La1 0.8079 0.6433 0.7408
La2 0.1921 0.3567 0.2592

Total magnetic moment   0.57 μB per atom
Calculated density   6.51 g/cm³
ΔE_f (raw)   -17.72 eV per formula unit

=====

Record 7
Here is a crystal of SrLaVFeO6 relaxed with PBEsol from Alexandria via LeMat-Bulk. Energies are from SCAN.

Cell lengths 5.3479, 5.3479, 5.3479 Å; angles 90.00, 120.00, 120.00 degrees
Element x y z (fractional)
Sr1 0.0000 0.5000 0.5000
La1 0.0000 0.0000 0.0000
V1 0.5000 0.7500 0.2500
Fe1 0.5000 0.2500 0.7500
O1 0.5000 0.5008 0.4992
O2 0.0017 0.5008 0.0008
O3 0.5000 0.9992 0.4992
O4 0.5000 0.9992 0.0008
O5 0.9983 0.9992 0.4992
O6 0.5000 0.5008 0.0008

Total magnetic moment   0.00 μB per atom
Calculated density   6.59 g/cm³
ΔE_f (raw)   -28.72 eV per formula unit

=====

Record 8
Here is a crystal of LaTaZnFeO6 relaxed with PBEsol from Alexandria via LeMat-Bulk. Energies are from SCAN.

Cell lengths 5.4094, 5.8213, 7.7139 Å; angles 90.00, 90.47, 90.00 degrees
Element x y z (fractional)
La1 0.0211 0.3174 0.2519
La2 0.5211 0.6826 0.7519
Ta1 0.0000 0.7873 0.4980
Ta2 0.5000 0.2127 0.9980
Zn1 0.5198 0.6438 0.2466
Zn2 0.0198 0.3562 0.7466
Fe1 0.0090 0.7704 0.0044
Fe2 0.5090 0.2296 0.5044
O1 0.3686 0.2773 0.7553
O2 0.8686 0.7227 0.2553
O3 0.7962 0.4214 0.9407
O4 0.2962 0.5786 0.4407
O5 0.8129 0.4595 0.5489
O6 0.3129 0.5405 0.0489
O7 0.0818 0.7405 0.7451
O8 0.5818 0.2595 0.2451
O9 0.7008 0.9496 0.5525
O10 0.2008 0.0504 0.0525
O11 0.6899 0.9468 0.9571
O12 0.1899 0.0532 0.4571

Total magnetic moment   0.40 μB per atom
Calculated density   7.34 g/cm³
ΔE_f (raw)   -25.99 eV per formula unit

=====

Record 9
Here is a crystal of LaFeWO6 relaxed with PBEsol from Alexandria via LeMat-Bulk. Energies are from SCAN.

Cell lengths 5.4197, 5.5083, 7.7039 Å; angles 90.00, 90.00, 90.00 degrees
Element x y z (fractional)
La1 0.0102 0.7935 0.2483
La2 0.5102 0.2065 0.7483
Fe1 0.5107 0.7468 0.4990
Fe2 0.0107 0.2532 0.9990
W1 0.0048 0.2652 0.4977
W2 0.5048 0.7348 0.9977
O1 0.4484 0.7562 0.7548
O2 0.9484 0.2438 0.2548
O3 0.7652 0.9679 0.9746
O4 0.2652 0.0321 0.4746
O5 0.7750 0.9862 0.5275
O6 0.2750 0.0138 0.0275
O7 0.0679 0.2612 0.7455
O8 0.5680 0.7388 0.2455
O9 0.7190 0.4612 0.5364
O10 0.2190 0.5388 0.0364
O11 0.7089 0.4630 0.9663
O12 0.2089 0.5370 0.4663

Total magnetic moment   0.56 μB per atom
Calculated density   6.85 g/cm³
ΔE_f (raw)   -22.68 eV per formula unit

=====

Record 10
Here is a crystal of La2ZnFeO6 relaxed with PBEsol from Alexandria via LeMat-Bulk. Energies are from SCAN.

Cell lengths 5.3901, 5.3901, 5.3901 Å; angles 61.45, 61.45, 61.45 degrees
Element x y z (fractional)
La1 0.2488 0.2488 0.2488
La2 0.7512 0.7512 0.7512
Zn1 0.5000 0.5000 0.5000
Fe1 0.0000 0.0000 0.0000
O1 0.2346 0.6966 0.8251
O2 0.8251 0.2346 0.6966
O3 0.6966 0.8251 0.2346
O4 0.7654 0.3034 0.1749
O5 0.3034 0.1749 0.7654
O6 0.1749 0.7654 0.3034

Total magnetic moment   0.20 μB per atom
Calculated density   7.19 g/cm³
ΔE_f (raw)   -27.39 eV per formula unit

=====

Record 11
Here is a crystal of LaFeOs relaxed with PBEsol from Alexandria via LeMat-Bulk. Energies are from SCAN.

Cell lengths 3.0519, 3.0519, 6.1683 Å; angles 104.32, 104.32, 90.00 degrees
Element x y z (fractional)
Fe1 0.0349 0.0349 0.0699
La1 0.3336 0.3336 0.6672
Os1 0.6314 0.6314 0.2629

Total magnetic moment   0.83 μB per atom
Calculated density   11.88 g/cm³
Fermi-level density of states   3.32 states/eV/f.u.
Excess energy over the best structure of this formula in the dataset   0.0 meV per atom
Formation energy   27 kJ/mol of atoms

=====

Record 12
Here is a crystal of LaFeOs relaxed with PBEsol from Alexandria via LeMat-Bulk. Energies are from SCAN.

Cell lengths 2.8608, 2.8608, 7.2669 Å; angles 90.00, 90.00, 120.00 degrees
Element x y z (fractional)
Fe1 0.0000 0.0000 0.0367
La1 0.3333 0.6667 0.6724
Os1 0.6667 0.3333 0.2910

Total magnetic moment   0.88 μB per atom
Calculated density   12.41 g/cm³
Fermi-level density of states   3.59 states/eV/f.u.
Excess energy over the best structure of this formula in the dataset   477.3 meV per atom
Formation energy   73 kJ/mol of atoms